Entry 1:
Here is an optimized crystal structure of NbAgPtO6 from Alexandria via LeMat-Bulk. Energies are from PBE.

Summary:
SG	P-31c

Cell: 5.2952 5.2952 9.4954 Å, 90.00 90.00 120.00°
Positions (direct):
Nb (0.6667, 0.3333, 0.2500)
Nb (0.3333, 0.6667, 0.7500)
Ag (0.0000, 0.0000, 0.0000)
Ag (0.0000, 0.0000, 0.5000)
Pt (0.3333, 0.6667, 0.2500)
Pt (0.6667, 0.3333, 0.7500)
O (0.6342, 0.6367, 0.1347)
O (0.0026, 0.3658, 0.1347)
O (0.3658, 0.0026, 0.6347)
O (0.9974, 0.6342, 0.8653)
O (0.3632, 0.3658, 0.3653)
O (0.0026, 0.6367, 0.3653)
O (0.6368, 0.0026, 0.8653)
O (0.6342, 0.9974, 0.3653)
O (0.9974, 0.3633, 0.6347)
O (0.3632, 0.9974, 0.1347)
O (0.6368, 0.6342, 0.6347)
O (0.3658, 0.3633, 0.8653)

=====

Entry 2:
Here is an optimized crystal structure of Pb4Cl5 from Alexandria via LeMat-Bulk. Energies are from PBE.

Summary:
excess energy over the best structure of this formula in the dataset	0.112	eV/f.u.
SG	P6_3/mcm

Cell: 9.2175 9.2175 6.5631 Å, 90.00 90.00 120.00°
Positions (direct):
Pb (0.0000, 0.0000, 0.0000)
Pb (0.0000, 0.0000, 0.5000)
Pb (0.0000, 0.3662, 0.2500)
Pb (0.6338, 0.6338, 0.2500)
Pb (0.3662, 0.0000, 0.2500)
Pb (0.0000, 0.6338, 0.7500)
Pb (0.3662, 0.3662, 0.7500)
Pb (0.6338, 0.0000, 0.7500)
Cl (0.0000, 0.6778, 0.2500)
Cl (0.3222, 0.3222, 0.2500)
Cl (0.6778, 0.0000, 0.2500)
Cl (0.0000, 0.3222, 0.7500)
Cl (0.6778, 0.6778, 0.7500)
Cl (0.3222, 0.0000, 0.7500)
Cl (0.6667, 0.3333, 0.0000)
Cl (0.3333, 0.6667, 0.5000)
Cl (0.3333, 0.6667, 0.0000)
Cl (0.6667, 0.3333, 0.5000)

=====

Entry 3:
Here is an optimized crystal structure of BiAsC from Alexandria via LeMat-Bulk. Energies are from PBE.

Summary:
excess energy over the best structure of this formula in the dataset	0.302	eV/f.u.
ΔE_f	0.6097	eV/atom
SG	P1

Cell: 4.6682 5.0082 6.7710 Å, 103.42 109.72 96.09°
Positions (direct):
C (0.7618, 0.8441, 0.1345)
C (0.5044, 0.7390, 0.9557)
As (0.4045, 0.9216, 0.7142)
As (0.1113, 0.1685, 0.2372)
Bi (0.0950, 0.3384, 0.8600)
Bi (0.8203, 0.5922, 0.3984)

=====

Entry 4:
Here is an optimized crystal structure of NbReTe2 from Alexandria via LeMat-Bulk. Energies are from PBE.

Summary:
excess energy over the best structure of this formula in the dataset	0.000	eV/f.u.
SG	Fm-3m

Cell: 4.7520 4.7520 4.7520 Å, 60.00 60.00 60.00°
Positions (direct):
Re (0.5000, 0.5000, 0.5000)
Nb (0.0000, 0.0000, 0.0000)
Te (0.2500, 0.2500, 0.2500)
Te (0.7500, 0.7500, 0.7500)

=====

Entry 5:
Here is an optimized crystal structure of Tb3MgPb5 from Alexandria via LeMat-Bulk. Energies are from PBE.

Summary:
ΔE_f	-0.3329	eV/atom
SG	P6_3/mcm

Cell: 6.4892 9.4732 9.4732 Å, 120.00 90.00 90.00°
Positions (direct):
Tb (0.7500, 0.3777, 0.0000)
Tb (0.7500, 0.6223, 0.6223)
Tb (0.7500, 0.0000, 0.3777)
Tb (0.2500, 0.6223, 0.0000)
Tb (0.2500, 0.3777, 0.3777)
Tb (0.2500, 0.0000, 0.6223)
Mg (0.0000, 0.0000, 0.0000)
Mg (0.5000, 0.0000, 0.0000)
Pb (0.0000, 0.3333, 0.6667)
Pb (0.5000, 0.6667, 0.3333)
Pb (0.0000, 0.6667, 0.3333)
Pb (0.5000, 0.3333, 0.6667)
Pb (0.7500, 0.7169, 0.0000)
Pb (0.7500, 0.2831, 0.2831)
Pb (0.7500, 0.0000, 0.7169)
Pb (0.2500, 0.2831, 0.0000)
Pb (0.2500, 0.7169, 0.7169)
Pb (0.2500, 0.0000, 0.2831)

=====

Entry 6:
Here is an optimized crystal structure of TmIn2ReO8 from Alexandria via LeMat-Bulk. Energies are from PBE.

Summary:
SG	Cmmm

Cell: 4.9552 4.9556 6.5304 Å, 90.00 90.00 91.54°
Positions (direct):
Tm (0.0000, 0.0000, 0.5000)
In (0.5000, 0.5000, 0.7488)
In (0.5000, 0.5000, 0.2512)
Re (0.0000, 0.0000, 0.0000)
O (0.1816, 0.8183, 0.2102)
O (0.7171, 0.7172, 0.0000)
O (0.8184, 0.1817, 0.2102)
O (0.8184, 0.1817, 0.7898)
O (0.2829, 0.2828, 0.0000)
O (0.1816, 0.8183, 0.7898)
O (0.6939, 0.6945, 0.5000)
O (0.3061, 0.3055, 0.5000)

=====

Number 1: electronic total energy -116.20 eV per cell. Number 2: electronic total energy -59.99 eV per cell. Number 3: electronic total energy -31.85 eV per cell. Number 4: electronic total energy -27.22 eV per cell. Number 5: electronic total energy -74.05 eV per cell. Number 6: electronic total energy -85.32 eV per cell.